Material: CdBi3
Method: DFT, PBE-GGA
State: relaxed

Lattice parameters (Å, degrees): 3.991 13.321 8.996 90.00 90.00 90.00
Positions (direct):
Cd 0.000 0.247 0.250
Cd 0.000 0.753 0.750
Cd 0.500 0.253 0.750
Cd 0.500 0.747 0.250
Bi 0.000 0.122 0.548
Bi 0.000 0.122 0.952
Bi 0.000 0.459 0.750
Bi 0.000 0.541 0.250
Bi 0.000 0.878 0.048
Bi 0.000 0.878 0.452
Bi 0.500 0.041 0.250
Bi 0.500 0.378 0.048
Bi 0.500 0.378 0.452
Bi 0.500 0.622 0.548
Bi 0.500 0.622 0.952
Bi 0.500 0.959 0.750

**Polymorph energy (0 for the lowest one)**: 0.011 eV/atom
**Calculated total energy**: -50.18 eV for the cell shown
**Crystal system**: orthorhombic
**Space-group type**: Cmcm